Record 1
A geometry-optimized RhSICl2 structure, computed with PBE-GGA.

Output
Crystal system: tetragonal
Excess energy over the best structure of this formula in the dataset in eV per atom: 0.000
DOS(E_F) in states/eV/cell: 5.32
Raw formation energy in eV per atom: 0.132
Total magnetic moment in μB per formula unit: 0.0

a b c (Å): 4.824 4.824 4.742
angles (deg): 90.00 90.00 90.00
Fractional positions:
I: 0.500 0.500 0.500
S: 0.000 0.000 0.500
Rh: 0.000 0.000 0.000
Cl: 0.000 0.500 0.000
Cl: 0.500 0.000 0.000

=====

Record 2
A geometry-optimized TeRhPb2O structure, computed with PBE-GGA.

Output
Crystal system: tetragonal
DOS(E_F) in states/eV/cell: 4.38
Raw formation energy in eV per atom: 0.513
Total magnetic moment in μB per formula unit: 0.5

a b c (Å): 5.905 3.961 5.905
angles (deg): 90.00 90.00 90.00
Each line ends with the local moment (μB).
Fractional positions:
Pb: 0.000 0.000 0.500  -0.01
Pb: 0.500 0.000 0.000  -0.01
Te: 0.000 0.000 0.000  0.01
Rh: 0.500 0.500 0.500  0.50
O: 0.000 0.500 0.000  0.00

=====

Record 3
A geometry-optimized CePm2Y structure, computed with PBE-GGA.

Output
Crystal system: cubic
Excess energy over the best structure of this formula in the dataset in eV per atom: 0.130
DOS(E_F) in states/eV/cell: 10.20
ΔE_f in eV per atom: 0.19
Total magnetic moment in μB per formula unit: 3.3

a b c (Å): 5.753 5.753 5.753
angles (deg): 60.00 60.00 60.00
Each line ends with the local moment (μB).
Fractional positions:
Y: 0.500 0.500 0.500  0.29
Ce: 0.000 0.000 0.000  1.12
Pm: 0.250 0.250 0.250  0.32
Pm: 0.750 0.750 0.750  0.32

=====

Repeat the third record exactly.
A geometry-optimized CePm2Y structure, computed with PBE-GGA.

Output
Crystal system: cubic
Excess energy over the best structure of this formula in the dataset in eV per atom: 0.130
DOS(E_F) in states/eV/cell: 10.20
ΔE_f in eV per atom: 0.19
Total magnetic moment in μB per formula unit: 3.3

a b c (Å): 5.753 5.753 5.753
angles (deg): 60.00 60.00 60.00
Each line ends with the local moment (μB).
Fractional positions:
Y: 0.500 0.500 0.500  0.29
Ce: 0.000 0.000 0.000  1.12
Pm: 0.250 0.250 0.250  0.32
Pm: 0.750 0.750 0.750  0.32